This record from Alexandria via LeMat-Bulk describes an optimized crystal structure of HfBeHgCl2. The functional is PBE.

- ΔE_f (raw): -0.1891 eV per atom
- N(E_F): 0.587 states/eV per atom
- SG: P4/mmm (123)
- E_tot: -3.724 eV/atom

Lattice parameters (Å, degrees): 4.9308 4.9308 5.3671 90.00 90.00 90.00
Last column: nearest neighbours and their distance in Å.
Positions (direct):
Hf: 0.0000 0.0000 0.0000  4 Cl 2.47, 2 Be 2.68
Be: 0.0000 0.0000 0.5000  2 Hf 2.68
Hg: 0.5000 0.5000 0.5000  4 Be 3.49, 8 Cl 3.64
Cl: 0.0000 0.5000 0.0000  2 Hf 2.47
Cl: 0.5000 0.0000 0.0000  2 Hf 2.47

This record from Alexandria via LeMat-Bulk describes an optimized crystal structure of LiHf2BeCl. The functional is PBE.

- ΔE_f (raw): 0.5488 eV per atom
- N(E_F): 0.447 states/eV per atom
- SG: P4/mmm (123)
- E_tot: -4.930 eV/atom

Lattice parameters (Å, degrees): 4.7795 4.7795 4.0576 90.00 90.00 90.00
Last column: nearest neighbours and their distance in Å.
Positions (direct):
Li: 0.0000 0.0000 0.0000  8 Hf 3.13, 4 Be 3.38
Hf: 0.0000 0.5000 0.5000  2 Cl 2.39
Hf: 0.5000 0.0000 0.5000  2 Cl 2.39
Be: 0.5000 0.5000 0.0000  2 Cl 2.03
Cl: 0.5000 0.5000 0.5000  2 Be 2.03

This record from Alexandria via LeMat-Bulk describes an optimized crystal structure of HfBePCl2. The functional is PBE.

- ΔE_f (raw): -0.1714 eV per atom
- N(E_F): 0.581 states/eV per atom
- SG: P4/mmm (123)
- E_tot: -4.728 eV/atom
- Polymorph energy (0 for the lowest one): 0 meV/atom

Lattice parameters (Å, degrees): 3.9927 3.9927 6.8645 90.00 90.00 90.00
Last column: nearest neighbours and their distance in Å.
Positions (direct):
Hf: 0.0000 0.0000 0.0000  4 P 2.82
Be: 0.5000 0.5000 0.5000  4 Cl 2.00
P: 0.5000 0.5000 0.0000  4 Hf 2.82
Cl: 0.0000 0.5000 0.5000  2 Be 2.00
Cl: 0.5000 0.0000 0.5000  2 Be 2.00

This record from Alexandria via LeMat-Bulk describes an optimized crystal structure of HfBePCl2. The functional is PBE.

- ΔE_f (raw): -0.0929 eV per atom
- N(E_F): 0.285 states/eV per atom
- SG: P4/mmm (123)
- E_tot: -4.649 eV/atom
- Polymorph energy (0 for the lowest one): 79 meV/atom

Lattice parameters (Å, degrees): 4.8878 4.8878 5.1762 90.00 90.00 90.00
Last column: nearest neighbours and their distance in Å.
Positions (direct):
Hf: 0.0000 0.0000 0.0000  4 Cl 2.44, 2 P 2.59
Be: 0.5000 0.5000 0.5000  4 P 3.46, 8 Cl 3.56
P: 0.0000 0.0000 0.5000  2 Hf 2.59
Cl: 0.0000 0.5000 0.0000  2 Hf 2.44
Cl: 0.5000 0.0000 0.0000  2 Hf 2.44

This record from Alexandria via LeMat-Bulk describes an optimized crystal structure of RbHfBeCl2. The functional is PBE.

- ΔE_f (raw): 0.2888 eV per atom
- N(E_F): 0.948 states/eV per atom
- SG: P4/mmm (123)
- E_tot: -3.379 eV/atom

Lattice parameters (Å, degrees): 5.2213 5.2213 4.9978 90.00 90.00 90.00
Last column: nearest neighbours and their distance in Å.
Positions (direct):
Rb: 0.0000 0.0000 0.0000  8 Cl 3.61, 4 Hf 3.69
Hf: 0.5000 0.5000 0.0000  2 Be 2.50
Be: 0.5000 0.5000 0.5000  2 Hf 2.50, 4 Cl 2.61
Cl: 0.0000 0.5000 0.5000  2 Be 2.61
Cl: 0.5000 0.0000 0.5000  2 Be 2.61

This record from Alexandria via LeMat-Bulk describes an optimized crystal structure of Rb2HfBeCl6. The functional is PBE.

- ΔE_f (raw): -1.3707 eV per atom
- N(E_F): 0.000 states/eV per atom
- SG: Fm-3m (225)
- E_tot: -4.040 eV/atom

Lattice parameters (Å, degrees): 7.8710 7.8710 7.8710 60.00 60.00 60.00
Last column: nearest neighbours and their distance in Å.
Positions (direct):
Rb: 0.2500 0.2500 0.2500  12 Cl 3.95
Rb: 0.7500 0.7500 0.7500  12 Cl 3.95
Hf: 0.0000 0.0000 0.0000  6 Cl 2.47
Be: 0.5000 0.5000 0.5000  6 Cl 3.10
Cl: 0.2215 0.2215 0.7785  1 Hf 2.47
Cl: 0.2215 0.7785 0.2215  1 Hf 2.47
Cl: 0.2215 0.7785 0.7785  1 Hf 2.47
Cl: 0.7785 0.2215 0.2215  1 Hf 2.47
Cl: 0.7785 0.2215 0.7785  1 Hf 2.47
Cl: 0.7785 0.7785 0.2215  1 Hf 2.47

This record from Alexandria via LeMat-Bulk describes an optimized crystal structure of Hf2BeSiCl. The functional is PBE.

- ΔE_f (raw): 0.9494 eV per atom
- N(E_F): 1.186 states/eV per atom
- SG: P4/mmm (123)
- E_tot: -5.231 eV/atom

Lattice parameters (Å, degrees): 5.0766 5.0766 4.4963 90.00 90.00 90.00
Last column: nearest neighbours and their distance in Å.
Positions (direct):
Hf: 0.0000 0.5000 0.0000  2 Si 2.54
Hf: 0.5000 0.0000 0.0000  2 Si 2.54
Be: 0.0000 0.0000 0.5000  8 Hf 3.39, 4 Cl 3.59
Si: 0.5000 0.5000 0.0000  2 Cl 2.25
Cl: 0.5000 0.5000 0.5000  2 Si 2.25

This record from Alexandria via LeMat-Bulk describes an optimized crystal structure of HfBeTeCl2. The functional is PBE.

- ΔE_f (raw): 0.9412 eV per atom
- N(E_F): 1.365 states/eV per atom
- SG: P4/mmm (123)
- E_tot: -3.162 eV/atom

Lattice parameters (Å, degrees): 5.3503 5.3503 5.6395 90.00 90.00 90.00
Last column: nearest neighbours and their distance in Å.
Positions (direct):
Hf: 0.0000 0.0000 0.0000  2 Te 2.82
Be: 0.5000 0.5000 0.0000  4 Hf 3.78, 8 Cl 3.89
Te: 0.0000 0.0000 0.5000  4 Cl 2.68, 2 Hf 2.82
Cl: 0.0000 0.5000 0.5000  2 Te 2.68
Cl: 0.5000 0.0000 0.5000  2 Te 2.68